Computed, not measured: an optimized crystal structure of TaVH2 at the PBE-GGA level of DFT.

Values from the calculation:
Volume (Å³/cell): 36.46
Density of states at the Fermi level (states/eV per atom): 0.43
Excess energy over the best structure of this formula in the dataset (eV per atom): 0.010
VASP energy (eV per cell): -28.276

extended XYZ file:
```
4
Lattice="2.402 -1.589 0.000 2.402 1.589 0.000 -0.002 0.000 4.779" Properties=species:S:1:pos:R:3 pbc="T T T"
Ta 0.000 0.000 0.000
V 2.401 0.000 2.389
H 0.729 0.000 1.769
H 4.072 0.000 3.010
```


Computed, not measured: an optimized crystal structure of YBeRe2 at the PBE-GGA level of DFT.

Values from the calculation:
Volume (Å³/cell): 66.43
Density of states at the Fermi level (states/eV per atom): 0.89
VASP energy (eV per cell): -32.193

extended XYZ file:
```
4
Lattice="2.734 -4.570 0.000 2.734 4.570 0.000 0.000 0.000 2.658" Properties=species:S:1:pos:R:3 pbc="T T T"
Y 0.000 0.000 0.000
Be 2.734 0.000 0.000
Re 1.367 2.285 1.329
Re 1.367 -2.285 1.329
```


Computed, not measured: an optimized crystal structure of Ta2CrIn2S6 at the PBE-GGA level of DFT.

Values from the calculation:
Volume (Å³/cell): 246.33
Density of states at the Fermi level (states/eV per atom): 0.35
Formation energy (no corrections) (eV/f.u.): -8.12
VASP energy (eV per cell): -71.692

extended XYZ file:
```
11
Lattice="2.950 -5.169 0.000 2.950 5.169 0.000 -1.936 0.000 8.077" Properties=species:S:1:pos:R:3 pbc="T T T"
Ta 2.950 3.711 0.000
Ta 2.950 -3.711 0.000
Cr 2.950 0.000 0.000
In 1.982 2.876 4.038
In 1.982 -2.876 4.038
S -0.813 0.000 6.464
S 2.010 1.723 1.376
S 1.955 1.723 6.700
S 2.010 -1.723 1.376
S 1.955 -1.723 6.700
S 4.777 0.000 1.612
```


Computed, not measured: an optimized crystal structure of Ac2CuPd2 at the PBE-GGA level of DFT.

Values from the calculation:
Volume (Å³/cell): 258.16
Density of states at the Fermi level (states/eV per atom): 0.63
VASP energy (eV per cell): -51.790

extended XYZ file:
```
10
Lattice="5.717 -2.193 0.000 5.717 2.193 0.000 -5.338 0.000 10.294" Properties=species:S:1:pos:R:3 pbc="T T T"
Ac -1.114 0.000 4.060
Ac -1.069 0.000 8.848
Ac 7.164 0.000 1.446
Ac 7.209 0.000 6.234
Cu 3.761 0.000 1.889
Cu 2.334 0.000 8.405
Pd -4.293 0.000 9.394
Pd 2.081 0.000 3.954
Pd 4.014 0.000 6.340
Pd 10.388 0.000 0.900
```